1.
A plane-wave DFT calculation with PBE was carried out for a relaxed CaTeAs2 crystal.

Computed properties:
- crystal system = tetragonal
- M_tot (μB per cell) = 0.00
- energy relative to the elements, uncorrected (eV/f.u.) = -1.862

a = 4.2412 Å, b = 4.2412 Å, c = 6.0973 Å
α = 90.00°, β = 90.00°, γ = 90.00°
Fractional positions:
As 0.0000 0.0000 0.1104
As 0.5000 0.5000 0.1729
Ca 0.0000 0.0000 0.6007
Te 0.5000 0.5000 0.6160


2.
A plane-wave DFT calculation with PBE was carried out for a relaxed K3SnAu crystal.

Computed properties:
- crystal system = cubic
- E above lowest polymorph (eV/atom) = 0.216
- M_tot (μB per cell) = 2.00
- formation enthalpy at 0 K (meV/atom) = 30

a = 6.2189 Å, b = 6.2189 Å, c = 6.2189 Å
α = 90.00°, β = 90.00°, γ = 90.00°
Last column: magnetic moment on the atom in μB.
Fractional positions:
Sn 0.5000 0.5000 0.5000  0.59
K 0.0000 0.0000 0.5000  0.01
K 0.5000 0.0000 0.0000  0.01
K 0.0000 0.5000 0.0000  0.01
Au 0.0000 0.0000 0.0000  0.02


3.
A plane-wave DFT calculation with PBE was carried out for a relaxed Pr3Tm5Sn2 crystal.

Computed properties:
- crystal system = orthorhombic
- M_tot (μB per cell) = 0.00
- formation enthalpy at 0 K (meV/atom) = -107

a = 6.3986 Å, b = 10.5899 Å, c = 10.5899 Å
α = 94.68°, β = 72.42°, γ = 72.42°
Fractional positions:
Tm 0.0045 0.7455 0.7455
Tm 0.6028 0.2341 0.5603
Tm 0.1028 0.5603 0.2341
Tm 0.5045 0.7455 0.7455
Tm 0.4955 0.2545 0.2545
Tm 0.8972 0.4397 0.7659
Tm 0.7500 0.5000 0.5000
Tm 0.2500 0.5000 0.5000
Tm 0.3972 0.7659 0.4397
Tm 0.9955 0.2545 0.2545
Pr 0.3732 0.3533 0.9002
Pr 0.8732 0.9002 0.3533
Pr 0.7500 0.0000 0.0000
Pr 0.6268 0.6467 0.0998
Pr 0.1268 0.0998 0.6467
Pr 0.2500 0.0000 0.0000
Sn 0.1435 0.7083 0.0047
Sn 0.6435 0.0047 0.7083
Sn 0.3565 0.9953 0.2917
Sn 0.8565 0.2917 0.9953


4.
A plane-wave DFT calculation with PBE was carried out for a relaxed Cs2Li2Si crystal.

Computed properties:
- crystal system = tetragonal
- M_tot (μB per cell) = 0.00
- energy relative to the elements, uncorrected (eV/f.u.) = 0.922

a = 7.5362 Å, b = 7.5362 Å, c = 6.3360 Å
α = 90.00°, β = 90.00°, γ = 90.00°
Fractional positions:
Cs 0.1811 0.6811 0.5000
Cs 0.8189 0.3189 0.5000
Cs 0.6811 0.8189 0.5000
Cs 0.3189 0.1811 0.5000
Li 0.7252 0.2252 0.0000
Li 0.7748 0.7252 0.0000
Li 0.2748 0.7748 0.0000
Li 0.2252 0.2748 0.0000
Si 0.5000 0.5000 0.0000
Si 0.0000 0.0000 0.0000